Compound: MgRe2Mo
Source: Alexandria via LeMat-Bulk
Functional: PBE
Structure: optimized geometry

Calculated volume, Å³/cell: 62.09
Formation enthalpy at 0 K, eV per atom: 0.19

Unit cell a=2.682 b=4.460 c=5.284 alpha=90.00 beta=100.74 gamma=90.00
Space group Pm (No. 6)
Unique sites:
Mg  0.000  0.000  0.000 [1 per cell]
Re  0.278  0.500  0.753 [1 per cell]
Re  0.495  0.000  0.503 [1 per cell]
Mo  0.712  0.500  0.244 [1 per cell]